KVSb2O8 | PBE+U | relaxed

## Properties
**E**: -6.064 eV/atom
**Total magnetization**: 0.00 μB/cell

The structure in POSCAR format:
```
KVSb2O8
1.0
4.9016 0.0000 0.0000
0.0000 6.4429 0.0000
-0.4420 0.0000 4.8938
K V Sb O
1 1 2 8
direct
0.0000 0.0000 0.0000 K
0.0000 0.5000 0.0000 V
0.5000 0.2537 0.5000 Sb
0.5000 0.7463 0.5000 Sb
0.2019 0.3034 0.1998 O
0.2019 0.6966 0.1998 O
0.3051 0.5000 0.6923 O
0.3291 0.0000 0.6662 O
0.6709 0.0000 0.3338 O
0.6949 0.5000 0.3077 O
0.7981 0.3034 0.8002 O
0.7981 0.6966 0.8002 O
```